(1)
{
  "formula": "TbCeInTc",
  "functional": "PBE",
  "state": "relaxed",
  "crystal_system": "cubic",
  "sg": "No. 216",
  "ef_ev_per_atom": -0.0931,
  "energy_ev_per_atom": -6.010,
  "lattice": [[5.124, 0.000, 0.000], [2.562, 4.438, 0.000], [2.562, 1.479, 4.184]],
  "species": ["Tb", "Tc", "Ce", "In"],
  "fractional_positions": [[0.250, 0.250, 0.250], [0.000, 0.000, 0.000], [0.750, 0.750, 0.750], [0.500, 0.500, 0.500]]
}



(2)
{
  "formula": "BaMg3Br",
  "functional": "PBE",
  "state": "relaxed",
  "polymorph_energy_ev_per_atom": 0.000,
  "crystal_system": "cubic",
  "e_form_raw_kj_per_mol_atoms": 5,
  "sg": "No. 221",
  "energy_ev_per_atom": -1.621,
  "lattice": [[-4.533, 2.638, -2.447], [-1.601, -5.004, -2.428], [-3.223, -1.225, 4.649]],
  "species": ["Mg", "Mg", "Mg", "Ba", "Br"],
  "fractional_positions": [[0.000, 0.500, 0.000], [0.000, 0.000, 0.500], [0.500, 0.000, 0.000], [0.500, 0.500, 0.500], [0.000, 0.000, 0.000]]
}



(3)
{
  "formula": "Sr2Sn3PdAu4",
  "functional": "PBE",
  "state": "relaxed",
  "crystal_system": "tetragonal",
  "sg": "No. 115",
  "ef_ev_per_atom": -0.5352,
  "energy_ev_per_atom": -3.903,
  "lattice": [[4.643, 0.000, 0.000], [0.000, 4.643, 0.000], [0.000, 0.000, 11.448]],
  "species": ["Sr", "Sr", "Sn", "Sn", "Sn", "Pd", "Au", "Au", "Au", "Au"],
  "fractional_positions": [[0.500, 0.000, 0.257], [0.000, 0.500, 0.743], [0.000, 0.000, 0.500], [0.500, 0.000, 0.869], [0.000, 0.500, 0.131], [0.500, 0.500, 0.500], [0.500, 0.500, 0.000], [0.000, 0.000, 0.000], [0.500, 0.000, 0.635], [0.000, 0.500, 0.365]]
}



(4)
{
  "formula": "PmYHo",
  "functional": "PBE",
  "state": "relaxed",
  "polymorph_energy_ev_per_atom": 0.011,
  "crystal_system": "tetragonal",
  "sg": "No. 107",
  "ef_ev_per_atom": 0.0212,
  "energy_ev_per_atom": -5.243,
  "lattice": [[-2.332, 0.109, 2.717], [2.624, -0.850, 2.286], [1.370, 7.756, -1.496]],
  "species": ["Y", "Ho", "Pm"],
  "fractional_positions": [[0.001, 0.001, 0.003], [0.666, 0.666, 0.332], [0.332, 0.332, 0.665]]
}



(5)
{
  "formula": "RbSr2CrBi",
  "functional": "PBE",
  "state": "relaxed",
  "crystal_system": "tetragonal",
  "sg": "No. 123",
  "ef_ev_per_atom": 0.4840,
  "energy_ev_per_atom": -3.083,
  "lattice": [[-4.765, -3.971, -0.104], [2.423, -3.028, 4.634], [-3.097, 3.613, 3.980]],
  "species": ["Sr", "Sr", "Bi", "Rb", "Cr"],
  "fractional_positions": [[0.000, 0.000, 0.500], [0.500, 0.000, 0.000], [0.500, 0.500, 0.500], [0.000, 0.500, 0.000], [0.000, 0.000, 0.000]]
}



(6)
{
  "formula": "Sc3BRu",
  "functional": "PBE",
  "state": "relaxed",
  "polymorph_energy_ev_per_atom": 0.648,
  "crystal_system": "cubic",
  "sg": "No. 221",
  "ef_ev_per_atom": 0.6906,
  "energy_ev_per_atom": -6.299,
  "lattice": [[-0.087, 4.248, 2.408], [-3.757, -1.597, 2.681], [3.120, -1.805, 3.296]],
  "species": ["Sc", "Sc", "Sc", "Ru", "B"],
  "fractional_positions": [[0.000, 0.500, 0.000], [0.000, 0.000, 0.500], [0.500, 0.000, 0.000], [0.000, 0.000, 0.000], [0.500, 0.500, 0.500]]
}



(7)
{
  "formula": "AcAlZn2Ni",
  "functional": "PBE",
  "state": "relaxed",
  "crystal_system": "orthorhombic",
  "sg": "No. 44",
  "ef_ev_per_atom": -0.3466,
  "energy_ev_per_atom": -3.583,
  "lattice": [[4.138, 0.000, 0.000], [0.000, 4.343, 0.000], [-2.069, -2.171, 5.551]],
  "species": ["Ac", "Al", "Zn", "Zn", "Ni"],
  "fractional_positions": [[0.438, 0.438, 0.877], [0.199, 0.699, 0.398], [0.700, 0.200, 0.399], [0.053, 0.053, 0.107], [0.822, 0.822, 0.643]]
}



(8)
{
  "formula": "La5Sb2Pb2",
  "functional": "PBE",
  "state": "relaxed",
  "polymorph_energy_ev_per_atom": 0.023,
  "crystal_system": "orthorhombic",
  "e_form_raw_kj_per_mol_atoms": -85,
  "sg": "No. 64",
  "energy_ev_per_atom": -5.357,
  "lattice": [[8.698, 0.000, 0.000], [0.000, 7.671, -3.943], [0.000, -0.096, 9.245]],
  "species": ["La", "La", "La", "La", "La", "La", "La", "La", "La", "La", "Sb", "Sb", "Sb", "Sb", "Pb", "Pb", "Pb", "Pb"],
  "fractional_positions": [[0.000, 0.000, 0.000], [0.500, 0.500, 0.000], [0.837, 0.803, 0.272], [0.163, 0.469, 0.272], [0.337, 0.969, 0.272], [0.663, 0.303, 0.272], [0.163, 0.197, 0.728], [0.837, 0.531, 0.728], [0.663, 0.031, 0.728], [0.337, 0.697, 0.728], [0.640, 0.861, 0.000], [0.360, 0.139, 0.000], [0.140, 0.639, 0.000], [0.860, 0.361, 0.000], [0.000, 0.203, 0.407], [0.500, 0.703, 0.407], [0.000, 0.797, 0.593], [0.500, 0.297, 0.593]]
}